Entry 1:
First-principles (PBE-GGA) data for a relaxed HfSnPtC2 crystal, as listed in the Alexandria database.

ΔE_f: 2208 meV/atom

a = 4.1390 Å, b = 4.1390 Å, c = 5.8428 Å
α = 90.00°, β = 90.00°, γ = 90.00°
With the nearest neighbours (Å) after each atom.
Sites, in units of the cell vectors:
Hf1 0.0000 0.0000 0.0000  2 Sn 2.92, 4 Pt 2.93
Sn1 0.0000 0.0000 0.5000  4 C 2.07
Pt1 0.5000 0.5000 0.0000  4 Hf 2.93
C1 0.0000 0.5000 0.5000  2 Sn 2.07
C2 0.5000 0.0000 0.5000  2 Sn 2.07

=====

Entry 2:
First-principles (PBE-GGA) data for a relaxed Na13Au2 crystal, as listed in the Alexandria database.

ΔE_f: -99 meV/atom
ΔE to the lowest computed polymorph: 0.000 eV/atom

a = 7.0498 Å, b = 8.2378 Å, c = 9.3636 Å
α = 65.79°, β = 89.32°, γ = 78.07°
With the nearest neighbours (Å) after each atom.
Sites, in units of the cell vectors:
Na1 0.0000 0.0000 0.0000  2 Au 3.00
Na2 0.0491 0.5616 0.6417  2 Au 3.06-3.11, 2 Na 3.33-3.40
Na3 0.1694 0.0178 0.6534  1 Au 3.14, 3 Na 3.40-3.51
Na4 0.2297 0.5799 0.0256  1 Au 3.28, 4 Na 3.42-3.67
Na5 0.2877 0.0870 0.2581  1 Au 3.07
Na6 0.4346 0.2284 0.8627  1 Au 3.04
Na7 0.4841 0.3423 0.4327  2 Au 3.08-3.12, 1 Na 3.37
Na8 0.5159 0.6577 0.5673  2 Au 3.08-3.12, 1 Na 3.37
Na9 0.5654 0.7716 0.1373  1 Au 3.04
Na10 0.7123 0.9130 0.7419  1 Au 3.07
Na11 0.7703 0.4201 0.9744  1 Au 3.28, 4 Na 3.42-3.67
Na12 0.8306 0.9822 0.3466  1 Au 3.14, 3 Na 3.40-3.51
Na13 0.9509 0.4384 0.3583  2 Au 3.06-3.11, 2 Na 3.33-3.40
Au1 0.1992 0.7184 0.3090  9 Na 3.00-3.28
Au2 0.8008 0.2816 0.6910  9 Na 3.00-3.28

=====

Entry 3:
First-principles (PBE-GGA) data for a relaxed Zr6AlCo2 crystal, as listed in the Alexandria database.

ΔE_f: -233 meV/atom
ΔE to the lowest computed polymorph: 0.000 eV/atom

a = 7.7571 Å, b = 7.7571 Å, c = 7.7571 Å
α = 113.49°, β = 112.72°, γ = 102.43°
With the nearest neighbours (Å) after each atom.
Sites, in units of the cell vectors:
Zr1 0.0358 0.2359 0.7999  2 Co 2.61-2.89, 1 Al 2.87
Zr2 0.1861 0.2980 0.4841  3 Co 2.66-2.88
Zr3 0.1861 0.7020 0.8881  3 Co 2.66-2.88
Zr4 0.3273 0.0252 0.6979  3 Co 2.56-2.73
Zr5 0.3273 0.6294 0.3021  3 Co 2.56-2.73
Zr6 0.4359 0.2359 0.2001  2 Co 2.61-2.89, 1 Al 2.87
Zr7 0.5641 0.7641 0.7999  2 Co 2.61-2.89, 1 Al 2.87
Zr8 0.6727 0.3706 0.6979  3 Co 2.56-2.73
Zr9 0.6727 0.9748 0.3021  3 Co 2.56-2.73
Zr10 0.8139 0.2980 0.1119  3 Co 2.66-2.88
Zr11 0.8139 0.7020 0.5159  3 Co 2.66-2.88
Zr12 0.9642 0.7641 0.2001  2 Co 2.61-2.89, 1 Al 2.87
Al1 0.0000 0.0000 0.0000  8 Zr 2.87-3.00, 2 Co 2.97
Al2 0.5000 0.5000 0.0000  12 Zr 3.07-3.20
Co1 0.1287 0.6287 0.5000  1 Co 2.50, 6 Zr 2.56-2.66
Co2 0.3450 0.0000 0.3450  8 Zr 2.61-2.88, 1 Co 2.66
Co3 0.6550 0.0000 0.6550  8 Zr 2.61-2.88, 1 Co 2.66
Co4 0.8713 0.3713 0.5000  1 Co 2.50, 6 Zr 2.56-2.66

=====

Entry 4:
First-principles (PBE-GGA) data for a relaxed Ag2CF6 crystal, as listed in the Alexandria database.

E_form (uncorrected): -0.9379 eV/atom

a = 5.6902 Å, b = 5.5884 Å, c = 9.0081 Å
α = 90.00°, β = 127.26°, γ = 90.00°
With the nearest neighbours (Å) after each atom.
Sites, in units of the cell vectors:
Ag1 0.2412 0.0010 0.2435  11 F 2.57-2.88
Ag2 0.2412 0.4990 0.7435  11 F 2.57-2.88
Ag3 0.7588 0.5010 0.2565  11 F 2.57-2.88
Ag4 0.7588 0.9990 0.7565  11 F 2.57-2.88
C1 0.5000 0.0000 0.0000  6 F 1.53-1.61
C2 0.5000 0.5000 0.5000  6 F 1.53-1.61
F1 0.2776 0.2028 0.9762  1 C 1.61
F2 0.2776 0.2972 0.4762  1 C 1.61
F3 0.2801 0.7053 0.4758  1 C 1.61
F4 0.2801 0.7947 0.9758  1 C 1.61
F5 0.3388 0.0006 0.7895  1 C 1.53
F6 0.3388 0.4994 0.2895  1 C 1.53
F7 0.6612 0.5006 0.7105  1 C 1.53
F8 0.6612 0.9994 0.2105  1 C 1.53
F9 0.7199 0.2053 0.0242  1 C 1.61
F10 0.7199 0.2947 0.5242  1 C 1.61
F11 0.7224 0.7028 0.5238  1 C 1.61
F12 0.7224 0.7972 0.0238  1 C 1.61

=====

Entry 5:
First-principles (PBE-GGA) data for a relaxed YHf2TaPd crystal, as listed in the Alexandria database.

ΔE_f: 639 meV/atom

a = 5.0885 Å, b = 5.0885 Å, c = 4.9877 Å
α = 90.00°, β = 90.00°, γ = 90.00°
With the nearest neighbours (Å) after each atom.
Sites, in units of the cell vectors:
Y1 0.0000 0.0000 0.0000  8 Hf 3.56, 4 Pd 3.60
Hf1 0.0000 0.5000 0.5000  2 Ta 2.54
Hf2 0.5000 0.0000 0.5000  2 Ta 2.54
Ta1 0.5000 0.5000 0.5000  2 Pd 2.49, 4 Hf 2.54
Pd1 0.5000 0.5000 0.0000  2 Ta 2.49

=====

Entry 6:
First-principles (PBE-GGA) data for a relaxed Na3CeEr2Se6 crystal, as listed in the Alexandria database.

E_form (uncorrected): -1.6700 eV/atom

a = 7.2380 Å, b = 7.2380 Å, c = 7.3942 Å
α = 99.41°, β = 99.41°, γ = 120.01°
With the nearest neighbours (Å) after each atom.
Sites, in units of the cell vectors:
Na1 0.0000 0.0000 0.0000  6 Se 3.00-3.09
Na2 0.3344 0.6656 0.0000  6 Se 3.01-3.09
Na3 0.6656 0.3344 0.0000  6 Se 3.01-3.09
Ce1 0.5000 0.5000 0.5000  6 Se 2.96-2.97
Er1 0.1668 0.8332 0.5000  6 Se 2.87
Er2 0.8332 0.1668 0.5000  6 Se 2.87
Se1 0.0796 0.4232 0.2699  2 Er 2.87, 1 Ce 2.96, 3 Na 3.01-3.09
Se2 0.2332 0.2332 0.7308  2 Er 2.87, 1 Ce 2.97, 3 Na 3.00-3.08
Se3 0.4232 0.0796 0.2699  2 Er 2.87, 1 Ce 2.96, 3 Na 3.01-3.09
Se4 0.5768 0.9204 0.7301  2 Er 2.87, 1 Ce 2.96, 3 Na 3.01-3.09
Se5 0.7668 0.7668 0.2692  2 Er 2.87, 1 Ce 2.97, 3 Na 3.00-3.08
Se6 0.9204 0.5768 0.7301  2 Er 2.87, 1 Ce 2.96, 3 Na 3.01-3.09

=====

Entry 7:
First-principles (PBE-GGA) data for a relaxed CsSc2GaCo crystal, as listed in the Alexandria database.

ΔE_f: 165 meV/atom

a = 5.0279 Å, b = 5.0279 Å, c = 4.8148 Å
α = 90.00°, β = 90.00°, γ = 90.00°
With the nearest neighbours (Å) after each atom.
Sites, in units of the cell vectors:
Cs1 0.0000 0.0000 0.0000  8 Sc 3.48, 4 Ga 3.56
Sc1 0.0000 0.5000 0.5000  2 Co 2.51
Sc2 0.5000 0.0000 0.5000  2 Co 2.51
Ga1 0.5000 0.5000 0.0000  2 Co 2.41
Co1 0.5000 0.5000 0.5000  2 Ga 2.41, 4 Sc 2.51

=====

Entry 8:
First-principles (PBE-GGA) data for a relaxed Ni2GeSb crystal, as listed in the Alexandria database.

E_form (uncorrected): 0.1895 eV/atom
ΔE to the lowest computed polymorph: 0.134 eV/atom

a = 5.6186 Å, b = 5.6186 Å, c = 5.6186 Å
α = 105.89°, β = 105.89°, γ = 116.90°
With the nearest neighbours (Å) after each atom.
Sites, in units of the cell vectors:
Ni1 0.0890 0.6250 0.9640  2 Ge 2.35
Ni2 0.3750 0.3390 0.4640  2 Ge 2.35
Ni3 0.6610 0.1250 0.0360  2 Ge 2.35
Ni4 0.8750 0.9110 0.5360  2 Ge 2.35
Ge1 0.0000 0.0000 0.0000  4 Ni 2.35
Ge2 0.7500 0.2500 0.5000  4 Ni 2.35
Sb1 0.2500 0.7500 0.5000  4 Ni 2.68, 2 Ge 2.94
Sb2 0.5000 0.5000 0.0000  4 Ni 2.68, 2 Ge 2.94

=====

| no. | DFT total energy (eV per atom) |
| --- | --- |
| 1 | -5.481 |
| 2 | -1.679 |
| 3 | -7.927 |
| 4 | -3.844 |
| 5 | -8.044 |
| 6 | -4.997 |
| 7 | -4.565 |
| 8 | -4.886 |